Entry from Alexandria via LeMat-Bulk: crystalline Dy5Y2ErTm at its relaxed geometry (PBE).

Final energy ... -174.43 eV/cell
Calculated formation energy ... 152 meV/atom

```
data_Dy5Y2ErTm
_cell_length_a 5.582
_cell_length_b 19.737
_cell_length_c 10.561
_cell_angle_alpha 90.00
_cell_angle_beta 90.00
_cell_angle_gamma 90.00
_symmetry_space_group_name_H-M 'C m c 21'
_symmetry_Int_Tables_number 36
_symmetry_space_group_name_Hall 'C 2c -2'
loop_
_atom_site_label
_atom_site_type_symbol
_atom_site_fract_x
_atom_site_fract_y
_atom_site_fract_z
Dy1 Dy 0.000 0.019 0.000
Dy2 Dy 0.000 0.282 0.286
Dy3 Dy 0.000 0.300 0.684
Dy4 Dy 0.000 0.389 0.999
Dy5 Dy 0.000 0.480 0.717
Y1 Y 0.000 0.110 0.714
Y2 Y 0.000 0.114 0.294
Er1 Er 0.000 0.412 0.437
Tm1 Tm 0.000 0.200 0.987
```